*A*
This record from Alexandria via LeMat-Bulk describes Na2GeBi after structural relaxation. The functional is GGA-PBE.

Cell: 3.611 3.611 7.783 Å, 90.00 90.00 90.00°
Space group P4/mmm (No. 123)
One atom of each set of equivalent atoms:
Na 0.000 0.000 0.225 (multiplicity 2)
Ge 0.500 0.500 0.000 (multiplicity 1)
Bi 0.500 0.500 0.500 (multiplicity 1)

Values from the calculation:
Total magnetization in μB per formula unit: 0.00

***

*B*
This record from Alexandria via LeMat-Bulk describes Na2GeBi after structural relaxation. The functional is GGA-PBE.

Cell: 8.911 8.911 5.781 Å, 90.00 90.00 90.00°
Space group I-42d (No. 122)
One atom of each set of equivalent atoms:
Na 0.216 0.250 0.125 (multiplicity 8)
Ge 0.000 0.000 0.000 (multiplicity 4)
Bi 0.000 0.000 0.500 (multiplicity 4)

Values from the calculation:
Total magnetization in μB per formula unit: 0.00

***

What is the stability order? It is *A*, *B*, from most stable to least stable.